No. 1
RbCuIF2 | GGA-PBE | optimized geometry

Cell and atoms, written as POSCAR:
```
RbCuIF2
1.0
-2.9395 2.3309 2.7183
-2.7201 -4.2681 0.7183
2.5971 -1.0335 3.6946
I Rb F Cu
1 1 2 1
Direct
0.0000 0.5000 0.0000
0.5000 0.5000 0.5000
0.5000 0.0000 0.0000
0.0000 0.0000 0.5000
0.0000 0.0000 0.0000
```

Properties
**Raw total energy**: -3.354 eV per atom
**Formation energy (no corrections)**: -6.41 eV/f.u.

No. 2
RbCuIF | GGA-PBE | optimized geometry

Cell and atoms, written as POSCAR:
```
RbCuIF
1.0
-2.0422 -0.0921 3.9047
3.0299 -3.0474 -0.9747
4.6873 3.8553 2.5424
Cu I Rb F
1 1 1 1
Direct
0.2379 0.4758 0.2218
0.5718 0.1437 0.3289
0.9055 0.8111 0.7791
0.2391 0.4781 0.9094
```

Properties
**Raw total energy**: -3.505 eV per atom
**Formation energy (no corrections)**: -5.54 eV/f.u.

No. 3
RbCu2IF2 | GGA-PBE | optimized geometry

Cell and atoms, written as POSCAR:
```
RbCu2IF2
1.0
-3.1542 2.8013 -2.7018
-3.8149 -5.1653 -0.9017
-2.3120 4.1261 6.9772
Cu I Rb F
4 2 2 4
Direct
0.4988 0.1190 0.1495
0.0012 0.1190 0.1495
0.5012 0.8810 0.8505
0.9988 0.8810 0.8505
0.7500 0.7407 0.0733
0.2500 0.2593 0.9267
0.7500 0.3078 0.5904
0.2500 0.6922 0.4096
0.2500 0.1410 0.3625
0.7500 0.8590 0.6375
0.7500 0.3830 0.2913
0.2500 0.6170 0.7087
```

Properties
**Raw total energy**: -3.691 eV per atom
**Formation energy (no corrections)**: -7.69 eV/f.u.

No. 4
RbCuI2F8 | GGA-PBE | optimized geometry

Cell and atoms, written as POSCAR:
```
RbCuI2F8
1.0
5.9621 0.0000 0.0000
2.9811 5.7341 1.4770
2.9811 3.8161 8.3409
F I Rb Cu
8 2 1 1
Direct
0.2856 0.7072 0.7216
0.7144 0.2928 0.2784
0.2816 0.1543 0.2826
0.2091 0.8277 0.1760
0.7184 0.8457 0.7174
0.2129 0.1723 0.8240
0.7909 0.1723 0.8240
0.7871 0.8277 0.1760
0.2898 0.4181 0.0022
0.7102 0.5819 0.9978
0.5000 0.5000 0.5000
0.0000 0.0000 0.0000
```

Properties
**Raw total energy**: -3.427 eV per atom
**Formation energy (no corrections)**: -17.99 eV/f.u.

Q: Look up the raw total energy of the second one.
A: -3.505 eV per atom

Q: Which formula does entry 4 have?
A: RbCuI2F8